[1]
Below is an optimized crystal structure of PPt, with properties calculated at the GGA-PBE level.

Values from the calculation:
E ... -5.7358 eV per atom
Magnetization ... 0.00 Bohr magnetons per cell

a b c (Å): 3.630 3.630 2.903
angles (deg): 90.00 90.00 120.00
Sites, in units of the cell vectors:
P 0.000 0.000 0.000
Pt 0.667 0.333 0.500


[2]
Below is an optimized crystal structure of MgCdCuBi, with properties calculated at the GGA-PBE level.

Values from the calculation:
Relative energy among the computed polymorphs ... 0.0 meV/atom

a b c (Å): 4.942 4.942 4.942
angles (deg): 60.00 60.00 60.00
Sites, in units of the cell vectors:
Mg 0.000 0.000 0.000
Cd 0.750 0.750 0.750
Cu 0.500 0.500 0.500
Bi 0.250 0.250 0.250


[3]
Below is an optimized crystal structure of Te2Pd2Pt, with properties calculated at the GGA-PBE level.

Values from the calculation:
E ... -4.3738 eV per atom
Magnetization ... 0.01 Bohr magnetons per cell

a b c (Å): 7.023 7.023 7.023
angles (deg): 147.13 147.13 47.17
Sites, in units of the cell vectors:
Te 0.110 0.110 0.000
Te 0.890 0.890 0.000
Pd 0.250 0.750 0.500
Pd 0.750 0.250 0.500
Pt 0.500 0.500 0.000